1.
! YZrSeBr2 PBE-GGA relaxed; values from VASP
! Total magnetic moment   3.0 Bohr magnetons per cell
! Final energy   -4.817 eV/atom
! ρ   4.226 g/cm³
! Polymorph energy (0 for the lowest one)   136 meV per atom
! V   32.924 Å³ per atom
&SYSTEM
  ibrav = 0, nat = 5, ntyp = 4
/
ATOMIC_SPECIES
Y 88.91 Y.upf
Zr 91.22 Zr.upf
Se 78.96 Se.upf
Br 79.90 Br.upf
ATOMIC_POSITIONS angstrom
Y 0.0000 0.0000 0.0000
Zr 2.7305 2.7305 2.7599
Se 0.0000 0.0000 2.7599
Br 0.0000 2.7305 0.0000
Br 2.7305 0.0000 0.0000
CELL_PARAMETERS angstrom
5.4611 0.0000 0.0000
0.0000 5.4611 0.0000
0.0000 0.0000 5.5198

---

2.
! Zn2SeBr2 PBE-GGA relaxed; values from VASP
! Total magnetic moment   1.1 Bohr magnetons per cell
! Final energy   -1.789 eV/atom
! ρ   5.214 g/cm³
! Polymorph energy (0 for the lowest one)   327 meV per atom
! V   23.542 Å³ per atom
&SYSTEM
  ibrav = 0, nat = 10, ntyp = 3
/
ATOMIC_SPECIES
Zn 65.41 Zn.upf
Se 78.96 Se.upf
Br 79.90 Br.upf
ATOMIC_POSITIONS angstrom
Zn 0.0000 0.0000 1.2658
Zn 0.0000 0.0000 9.6253
Zn 2.3246 2.3246 4.1798
Zn 2.3246 2.3246 6.7113
Se 0.0000 0.0000 5.4455
Se 2.3246 2.3246 0.0000
Br 0.0000 2.3246 2.7228
Br 0.0000 2.3246 8.1683
Br 2.3246 0.0000 2.7228
Br 2.3246 0.0000 8.1683
CELL_PARAMETERS angstrom
4.6493 0.0000 0.0000
0.0000 4.6493 0.0000
0.0000 0.0000 10.8911

---

3.
! Zn2SeBr2 PBE-GGA relaxed; values from VASP
! Total magnetic moment   0.0 Bohr magnetons per cell
! Final energy   -2.116 eV/atom
! ρ   4.575 g/cm³
! Polymorph energy (0 for the lowest one)   0 meV per atom
! V   26.826 Å³ per atom
&SYSTEM
  ibrav = 0, nat = 10, ntyp = 3
/
ATOMIC_SPECIES
Zn 65.41 Zn.upf
Se 78.96 Se.upf
Br 79.90 Br.upf
ATOMIC_POSITIONS angstrom
Zn 1.7357 2.0036 0.0000
Zn 2.0036 5.7430 0.0000
Zn 5.4751 1.7357 0.0000
Zn 5.7430 5.4751 0.0000
Se 0.0000 0.0000 0.0000
Se 3.7394 3.7394 0.0000
Br 1.2121 2.5273 2.3981
Br 2.5273 6.2666 2.3981
Br 4.9515 1.2121 2.3981
Br 6.2666 4.9515 2.3981
CELL_PARAMETERS angstrom
7.4788 0.0000 0.0000
0.0000 7.4788 0.0000
0.0000 0.0000 4.7962

---

Taking the records one at a time from the top gives D(E_F) values of 5.602, 6.458, 2.951 states/eV/cell.